Record 1
The following is a PBE calculation of YNi2Rh after structural relaxation, from the Alexandria database.

Its formation energy is -0.159 eV/atom. The calculation puts the total magnetization at 0.1983 μB/atom. Its total energy is -0.2390 hartree per atom. Its crystal system is tetragonal.

It has space group P4mm (No. 99), with a = 3.257 Å, b = 3.257 Å, c = 5.929 Å, α = 90.00°, β = 90.00° and γ = 90.00°. The inequivalent atoms are Y at (0.000, 0.000, 0.000), Ni at (0.000, 0.000, 0.475), Ni at (0.500, 0.500, 0.295) and Rh at (0.500, 0.500, 0.710).

=====

Record 2
The following is a PBE calculation of AcPrNiPt after structural relaxation, from the Alexandria database.

Its formation energy is -0.562 eV/atom. For the relative energy among the computed polymorphs, the calculation gives 134 meV per atom. The calculation puts the total magnetization at 0.0000 μB/atom. Its total energy is -0.2109 hartree per atom. Its crystal system is cubic.

It has space group F-43m (No. 216), with a = 7.337 Å, b = 7.337 Å, c = 7.337 Å, α = 90.00°, β = 90.00° and γ = 90.00°. The inequivalent atoms are Ac at (0.000, 0.000, 0.000), Pr at (0.000, 0.000, 0.500), Ni at (0.250, 0.250, 0.250) and Pt at (0.250, 0.250, 0.750).

=====

Record 3
The following is a PBE calculation of Rb4OF2 after structural relaxation, from the Alexandria database.

For the relative energy among the computed polymorphs, the calculation gives 94 meV per atom. The calculation puts the total magnetization at 0.0155 μB/atom. Its total energy is -0.1327 hartree per atom. Its crystal system is monoclinic.

It has space group P2_1/m (No. 11), with a = 7.619 Å, b = 7.346 Å, c = 7.892 Å, α = 90.00°, β = 102.20° and γ = 90.00°. The inequivalent atoms are Rb at (0.124, 0.250, 0.051), Rb at (0.239, 0.522, 0.436), Rb at (0.342, 0.750, 0.905), O at (0.181, 0.750, 0.165), F at (0.039, 0.750, 0.654) and F at (0.465, 0.250, 0.351).